No. 1
# NpAlBiO6 PBE optimized geometry
data_NpAlBiO6
_chemical_formula_sum 'Np2 Al2 Bi2 O12'
_cell_length_a 5.3069
_cell_length_b 5.3069
_cell_length_c 10.0434
_cell_angle_alpha 90.00
_cell_angle_beta 90.00
_cell_angle_gamma 120.00
_space_group_name_H-M_alt 'P -3 1 c'
_space_group_IT_number 163
_space_group_name_Hall '-P 3 2c'
loop_
_atom_site_label
_atom_site_type_symbol
_atom_site_fract_x
_atom_site_fract_y
_atom_site_fract_z
_atom_site_occupancy
Np1 Np 0.3333 0.6667 0.2500 1
Al1 Al 0.3333 0.6667 0.7500 1
Bi1 Bi 0.0000 0.0000 0.0000 1
O1 O 0.0191 0.3716 0.6427 1
# D(E_F) = 0.01 states/eV per atom
# volume = 13.61 Å³ per atom

---

No. 2
# AlBiO3 PBE optimized geometry
data_AlBiO3
_chemical_formula_sum 'Al2 Bi2 O6'
_cell_length_a 3.6381
_cell_length_b 3.6381
_cell_length_c 12.8606
_cell_angle_alpha 90.00
_cell_angle_beta 90.00
_cell_angle_gamma 120.00
_space_group_name_H-M_alt 'P 63/m m c'
_space_group_IT_number 194
_space_group_name_Hall '-P 6c 2c'
loop_
_atom_site_label
_atom_site_type_symbol
_atom_site_fract_x
_atom_site_fract_y
_atom_site_fract_z
_atom_site_occupancy
Al1 Al 0.0000 0.0000 0.0000 1
Bi1 Bi 0.3333 0.6667 0.2500 1
O1 O 0.0000 0.0000 0.2500 1
O2 O 0.3333 0.6667 0.0620 1
# volume = 14.74 Å³ per atom

---

No. 3
# AlBiO2 PBE optimized geometry
data_AlBiO2
_chemical_formula_sum 'Al3 Bi3 O6'
_cell_length_a 3.8938
_cell_length_b 3.8938
_cell_length_c 16.7229
_cell_angle_alpha 90.00
_cell_angle_beta 90.00
_cell_angle_gamma 120.00
_space_group_name_H-M_alt 'R -3 m'
_space_group_IT_number 166
_space_group_name_Hall '-R 3 2"'
loop_
_atom_site_label
_atom_site_type_symbol
_atom_site_fract_x
_atom_site_fract_y
_atom_site_fract_z
_atom_site_occupancy
Al1 Al 0.0000 0.0000 0.0000 1
Bi1 Bi 0.0000 0.0000 0.5000 1
O1 O 0.0000 0.0000 0.1048 1
# D(E_F) = 0.21 states/eV per atom
# energy relative to the lowest polymorph listed for this composition = 70.7 kJ per mole of atoms
# volume = 18.30 Å³ per atom

---

No. 4
# AlBi2O6 PBE optimized geometry
data_AlBi2O6
_chemical_formula_sum 'Al2 Bi4 O12'
_cell_length_a 5.297
_cell_length_b 5.423
_cell_length_c 8.869
_cell_angle_alpha 90.00
_cell_angle_beta 90.00
_cell_angle_gamma 90.00
_space_group_name_H-M_alt 'P n n m'
_space_group_IT_number 58
loop_
_space_group_symop_operation_xyz
'x,y,z'
'-x,-y,-z'
'-x,-y,z'
'x,y,-z'
'x+1/2,-y+1/2,-z+1/2'
'-x+1/2,y+1/2,z+1/2'
'-x+1/2,y+1/2,-z+1/2'
'x+1/2,-y+1/2,z+1/2'
loop_
_atom_site_label
_atom_site_type_symbol
_atom_site_fract_x
_atom_site_fract_y
_atom_site_fract_z
_atom_site_occupancy
Al1 Al 0.000 0.000 0.000 1
Bi1 Bi 0.000 0.500 0.197 1
O1 O 0.172 0.304 0.000 1
O2 O 0.209 0.848 0.158 1
# D(E_F) = 0.25 states/eV per atom
# volume = 14.15 Å³ per atom

---

No. 5
# AlBiO3 PBE optimized geometry
data_AlBiO3
_chemical_formula_sum 'Al4 Bi4 O12'
_cell_length_a 5.439
_cell_length_b 7.613
_cell_length_c 5.369
_cell_angle_alpha 90.00
_cell_angle_beta 90.00
_cell_angle_gamma 90.00
_space_group_name_H-M_alt 'P n m a'
_space_group_IT_number 62
loop_
_space_group_symop_operation_xyz
'x,y,z'
'-x,-y,-z'
'-x+1/2,-y,z+1/2'
'x+1/2,y,-z+1/2'
'x+1/2,-y+1/2,-z+1/2'
'-x+1/2,y+1/2,z+1/2'
'-x,y+1/2,-z'
'x,-y+1/2,z'
loop_
_atom_site_label
_atom_site_type_symbol
_atom_site_fract_x
_atom_site_fract_y
_atom_site_fract_z
_atom_site_occupancy
Al1 Al 0.000 0.000 0.000 1
Bi1 Bi 0.041 0.250 0.493 1
O1 O 0.015 0.750 0.065 1
O2 O 0.217 0.534 0.716 1
# D(E_F) = 0.00 states/eV per atom
# volume = 11.12 Å³ per atom

---

No. 6
# AlBiO3 PBE optimized geometry
data_AlBiO3
_chemical_formula_sum 'Al2 Bi2 O6'
_cell_length_a 3.647
_cell_length_b 5.701
_cell_length_c 5.834
_cell_angle_alpha 90.00
_cell_angle_beta 90.00
_cell_angle_gamma 90.00
_space_group_name_H-M_alt 'P m c 21'
_space_group_IT_number 26
loop_
_space_group_symop_operation_xyz
'x,y,z'
'-x,-y,z+1/2'
'-x,y,z'
'x,-y,z+1/2'
loop_
_atom_site_label
_atom_site_type_symbol
_atom_site_fract_x
_atom_site_fract_y
_atom_site_fract_z
_atom_site_occupancy
Al1 Al 0.000 0.196 0.000 1
Bi1 Bi 0.500 0.317 0.436 1
O1 O 0.000 0.049 0.303 1
O2 O 0.000 0.462 0.806 1
O3 O 0.500 0.259 0.055 1
# D(E_F) = 0.00 states/eV per atom
# volume = 12.13 Å³ per atom

---

no.,E_form (uncorrected) (eV per atom)
1,-2.365
2,-1.272
3,-1.136
4,-1.422
5,-2.073
6,-2.079